## Si2Bi2Br (PBE-GGA)

Data for a relaxed Si2Bi2Br crystal.

Calculated values
V	28.4	Å³ per atom
total magnetic moment	0.0	μB per formula unit
crystal system	tetragonal
total DFT energy (no corrections)	-3.946	eV per atom
uncorrected formation energy	0.1102	eV/atom

Lattice parameters (Å, degrees): 4.310 4.310 8.232 74.82 74.82 90.00
Positions (direct):
Si: 0.750 0.250 0.500
Si: 0.250 0.750 0.500
Bi: 0.371 0.371 0.258
Bi: 0.629 0.629 0.742
Br: 0.000 0.000 0.000